--- w ---
Compound: Ca2Zn2Pd
Source: Alexandria via LeMat-Bulk
Functional: GGA-PBE
Structure: relaxed

a b c (Å): 5.5005 5.5005 5.5005
angles (deg): 116.80 116.80 95.64
Atoms (fractional coordinates):
Ca (0.2500, 0.7500, 0.5000)
Ca (0.7500, 0.2500, 0.5000)
Zn (0.1604, 0.1604, 0.0000)
Zn (0.8396, 0.8396, 0.0000)
Pd (0.5000, 0.5000, 0.0000)

**SG**: I4/mmm, No. 139
**Volume**: 24.546 Å³/atom
**Size of the total moment**: 0.000 Bohr magnetons per cell
**Calculated density**: 4.29 g/cm3

--- x ---
Compound: Ca2Zn2Pd
Source: Alexandria via LeMat-Bulk
Functional: GGA-PBE
Structure: relaxed

a b c (Å): 5.8067 5.8067 7.8491
angles (deg): 101.91 101.91 60.84
Atoms (fractional coordinates):
Ca (0.0360, 0.2675, 0.1495)
Ca (0.2675, 0.0360, 0.6495)
Ca (0.7325, 0.9640, 0.3505)
Ca (0.9640, 0.7325, 0.8505)
Zn (0.2561, 0.4985, 0.5054)
Zn (0.4985, 0.2561, 0.0054)
Zn (0.5015, 0.7439, 0.9946)
Zn (0.7439, 0.5015, 0.4946)
Pd (0.3370, 0.6630, 0.2500)
Pd (0.6630, 0.3370, 0.7500)

**SG**: C2/c, No. 15
**Volume**: 22.439 Å³/atom
**Size of the total moment**: 0.000 Bohr magnetons per cell
**Calculated density**: 4.70 g/cm3

--- y ---
Compound: Ca2Zn2Pd
Source: Alexandria via LeMat-Bulk
Functional: GGA-PBE
Structure: relaxed

a b c (Å): 7.0250 7.0250 4.5470
angles (deg): 90.00 90.00 90.00
Atoms (fractional coordinates):
Ca (0.1820, 0.3180, 0.0000)
Ca (0.3180, 0.8180, 0.0000)
Ca (0.6820, 0.1820, 0.0000)
Ca (0.8180, 0.6820, 0.0000)
Zn (0.1282, 0.6282, 0.5000)
Zn (0.3718, 0.1282, 0.5000)
Zn (0.6282, 0.8718, 0.5000)
Zn (0.8718, 0.3718, 0.5000)
Pd (0.0000, 0.0000, 0.5000)
Pd (0.5000, 0.5000, 0.5000)

**SG**: P4/mbm, No. 127
**Volume**: 22.440 Å³/atom
**Size of the total moment**: 0.000 Bohr magnetons per cell
**Calculated density**: 4.70 g/cm3

Which of them is most stable, and which least? Most stable: x; least stable: w.

--- w ---
Compound: CaZn3Pd
Source: Alexandria via LeMat-Bulk
Functional: GGA-PBE
Structure: relaxed

a b c (Å): 5.4191 5.4191 5.4191
angles (deg): 90.00 90.00 90.00
Atoms (fractional coordinates):
Ca (0.0000, 0.0000, 0.0000)
Zn (0.0000, 0.0000, 0.5000)
Zn (0.0000, 0.5000, 0.0000)
Zn (0.5000, 0.0000, 0.0000)
Pd (0.5000, 0.5000, 0.5000)

**SG**: Pm-3m, No. 221
**Volume**: 31.828 Å³/atom
**Size of the total moment**: 0.000 Bohr magnetons per cell
**Calculated density**: 3.58 g/cm3

--- x ---
Compound: CaZn3Pd
Source: Alexandria via LeMat-Bulk
Functional: GGA-PBE
Structure: relaxed

a b c (Å): 5.9443 5.9443 6.0063
angles (deg): 90.00 90.00 113.90
Atoms (fractional coordinates):
Ca (0.2299, 0.7701, 0.7500)
Ca (0.7701, 0.2299, 0.2500)
Zn (0.2875, 0.2875, 0.0000)
Zn (0.2875, 0.2875, 0.5000)
Zn (0.3396, 0.6604, 0.2500)
Zn (0.6604, 0.3396, 0.7500)
Zn (0.7125, 0.7125, 0.0000)
Zn (0.7125, 0.7125, 0.5000)
Pd (0.0919, 0.9081, 0.2500)
Pd (0.9081, 0.0919, 0.7500)

**SG**: Cmcm, No. 63
**Volume**: 19.404 Å³/atom
**Size of the total moment**: 0.000 Bohr magnetons per cell
**Calculated density**: 5.87 g/cm3

Which of them is most stable, and which least? Most stable: x; least stable: w.

--- w ---
Compound: CaZn3Pd
Source: Alexandria via LeMat-Bulk
Functional: GGA-PBE
Structure: relaxed

a b c (Å): 4.8268 4.8268 4.8268
angles (deg): 90.00 90.00 90.00
Atoms (fractional coordinates):
Ca (0.0000, 0.0000, 0.0000)
Zn (0.0000, 0.5000, 0.5000)
Zn (0.5000, 0.0000, 0.5000)
Zn (0.5000, 0.5000, 0.0000)
Pd (0.5000, 0.5000, 0.5000)

**SG**: Pm-3m, No. 221
**Volume**: 22.491 Å³/atom
**Size of the total moment**: 0.000 Bohr magnetons per cell
**Calculated density**: 5.06 g/cm3

--- x ---
Compound: CaZn3Pd
Source: Alexandria via LeMat-Bulk
Functional: GGA-PBE
Structure: relaxed

a b c (Å): 6.6990 6.6990 5.4849
angles (deg): 90.00 90.00 129.45
Atoms (fractional coordinates):
Ca (0.1029, 0.8971, 0.7500)
Ca (0.8971, 0.1029, 0.2500)
Zn (0.1159, 0.4049, 0.7500)
Zn (0.3131, 0.6869, 0.2500)
Zn (0.4049, 0.1159, 0.2500)
Zn (0.5951, 0.8841, 0.7500)
Zn (0.6869, 0.3131, 0.7500)
Zn (0.8841, 0.5951, 0.2500)
Pd (0.5000, 0.5000, 0.0000)
Pd (0.5000, 0.5000, 0.5000)

**SG**: Cmcm, No. 63
**Volume**: 19.005 Å³/atom
**Size of the total moment**: 0.000 Bohr magnetons per cell
**Calculated density**: 5.99 g/cm3

Which of them is most stable, and which least? Most stable: x; least stable: w.

--- w ---
Compound: CaZn2Pd2
Source: Alexandria via LeMat-Bulk
Functional: GGA-PBE
Structure: relaxed

a b c (Å): 7.6018 7.6018 2.9937
angles (deg): 90.00 90.00 90.00
Atoms (fractional coordinates):
Ca (0.0000, 0.0000, 0.0000)
Ca (0.5000, 0.5000, 0.0000)
Zn (0.1362, 0.3638, 0.5000)
Zn (0.3638, 0.8638, 0.5000)
Zn (0.6362, 0.1362, 0.5000)
Zn (0.8638, 0.6362, 0.5000)
Pd (0.1575, 0.6575, 0.0000)
Pd (0.3425, 0.1575, 0.0000)
Pd (0.6575, 0.8425, 0.0000)
Pd (0.8425, 0.3425, 0.0000)

**SG**: P4/mbm, No. 127
**Volume**: 17.300 Å³/atom
**Size of the total moment**: 0.000 Bohr magnetons per cell
**Calculated density**: 7.37 g/cm3

--- x ---
Compound: CaZn2Pd2
Source: Alexandria via LeMat-Bulk
Functional: GGA-PBE
Structure: relaxed

a b c (Å): 7.5857 7.5857 2.9802
angles (deg): 90.00 90.00 90.00
Atoms (fractional coordinates):
Ca (0.0000, 0.0000, 0.0000)
Ca (0.5000, 0.5000, 0.0000)
Zn (0.1194, 0.3806, 0.0000)
Zn (0.3806, 0.8806, 0.0000)
Zn (0.6194, 0.1194, 0.0000)
Zn (0.8806, 0.6194, 0.0000)
Pd (0.1765, 0.6765, 0.5000)
Pd (0.3235, 0.1765, 0.5000)
Pd (0.6765, 0.8235, 0.5000)
Pd (0.8235, 0.3235, 0.5000)

**SG**: P4/mbm, No. 127
**Volume**: 17.149 Å³/atom
**Size of the total moment**: 0.016 Bohr magnetons per cell
**Calculated density**: 7.43 g/cm3

Which of them is most stable, and which least? Most stable: x; least stable: w.

--- w ---
Compound: CaZn2Pd2
Source: Alexandria via LeMat-Bulk
Functional: GGA-PBE
Structure: relaxed

a b c (Å): 6.0660 6.0660 6.0660
angles (deg): 139.19 139.19 59.08
Atoms (fractional coordinates):
Ca (0.0000, 0.0000, 0.0000)
Zn (0.3827, 0.3827, 0.0000)
Zn (0.6173, 0.6173, 0.0000)
Pd (0.2500, 0.7500, 0.5000)
Pd (0.7500, 0.2500, 0.5000)

**SG**: I4/mmm, No. 139
**Volume**: 18.882 Å³/atom
**Size of the total moment**: 0.000 Bohr magnetons per cell
**Calculated density**: 6.75 g/cm3

--- x ---
Compound: CaZn2Pd2
Source: Alexandria via LeMat-Bulk
Functional: GGA-PBE
Structure: relaxed

a b c (Å): 11.4033 11.4033 11.4033
angles (deg): 158.99 158.99 29.89
Atoms (fractional coordinates):
Ca (0.1305, 0.1305, 0.0000)
Ca (0.8695, 0.8695, 0.0000)
Zn (0.0000, 0.5000, 0.5000)
Zn (0.3173, 0.3173, 0.0000)
Zn (0.5000, 0.0000, 0.5000)
Zn (0.6827, 0.6827, 0.0000)
Pd (0.2500, 0.7500, 0.5000)
Pd (0.4314, 0.4314, 0.0000)
Pd (0.5686, 0.5686, 0.0000)
Pd (0.7500, 0.2500, 0.5000)

**SG**: I4/mmm, No. 139
**Volume**: 19.054 Å³/atom
**Size of the total moment**: 0.000 Bohr magnetons per cell
**Calculated density**: 6.69 g/cm3

Which of them is most stable, and which least? Most stable: x; least stable: w.

--- w ---
Compound: Ca4ZnPd
Source: Alexandria via LeMat-Bulk
Functional: GGA-PBE
Structure: relaxed

a b c (Å): 5.1104 5.1104 7.2043
angles (deg): 90.00 90.00 90.00
Atoms (fractional coordinates):
Ca (0.0000, 0.5000, 0.2432)
Ca (0.0000, 0.5000, 0.7568)
Ca (0.5000, 0.0000, 0.2432)
Ca (0.5000, 0.0000, 0.7568)
Zn (0.0000, 0.0000, 0.5000)
Pd (0.5000, 0.5000, 0.0000)

**SG**: P4/mmm, No. 123
**Volume**: 31.358 Å³/atom
**Size of the total moment**: 0.000 Bohr magnetons per cell
**Calculated density**: 2.93 g/cm3

--- x ---
Compound: Ca4ZnPd
Source: Alexandria via LeMat-Bulk
Functional: GGA-PBE
Structure: relaxed

a b c (Å): 3.6497 3.6497 13.1401
angles (deg): 90.00 90.00 90.00
Atoms (fractional coordinates):
Ca (0.0000, 0.0000, 0.1283)
Ca (0.0000, 0.0000, 0.8717)
Ca (0.5000, 0.5000, 0.3616)
Ca (0.5000, 0.5000, 0.6384)
Zn (0.0000, 0.0000, 0.5000)
Pd (0.5000, 0.5000, 0.0000)

**SG**: P4/mmm, No. 123
**Volume**: 29.172 Å³/atom
**Size of the total moment**: 0.000 Bohr magnetons per cell
**Calculated density**: 3.15 g/cm3

Which of them is most stable, and which least? Most stable: x; least stable: w.